# Sr3Co2O7

An optimized crystal structure of Sr3Co2O7 (GGA+U, Alexandria via LeMat-Bulk).

```
Sr3Co2O7
1.0
-2.170 -3.138 0.933
1.958 -0.347 3.386
-6.501 7.626 2.265
Co O Sr
2 7 3
direct
0.097 0.097 0.194
0.903 0.903 0.806
0.808 0.808 0.616
0.095 0.595 0.189
0.905 0.405 0.811
0.000 0.000 0.000
0.192 0.192 0.384
0.595 0.095 0.189
0.405 0.905 0.811
0.321 0.321 0.641
0.500 0.500 0.000
0.679 0.679 0.359
```

Density = 5.36 g cm⁻³
Crystal system = tetragonal
Spin magnetization = 0.5129 μB/atom
Calculated total energy = -5.997 eV/atom